Compound: LaMnSb
Source: Alexandria via LeMat-Bulk
Functional: PBE-GGA
Structure: optimized geometry

```
LaMnSb
1.0
-0.499 -4.471 0.966
2.462 1.301 -3.663
3.522 0.128 2.412
La Mn Sb
1 1 1
Direct
0.000 0.000 0.000
0.333 0.667 0.499
0.667 0.333 0.500
```

## Properties
The crystal system is hexagonal. Its electronic total energy is -6.540 eV per atom. As for the density of states at the Fermi level: 4.76 states/eV/f.u. The symmetry is No. 187.

Compound: La3MnSb
Source: Alexandria via LeMat-Bulk
Functional: PBE-GGA
Structure: optimized geometry

```
La3MnSb
1.0
-4.109 0.376 3.223
-1.323 -4.943 -1.111
2.963 -1.686 3.974
Sb Mn La
1 1 3
Direct
0.500 0.500 0.500
0.000 0.000 0.000
0.000 0.500 0.000
0.000 0.000 0.500
0.500 0.000 0.000
```

## Properties
The crystal system is cubic. Its electronic total energy is -6.010 eV per atom. As for the density of states at the Fermi level: 4.13 states/eV/f.u. The symmetry is No. 221.

Compound: LaMnSb2
Source: Alexandria via LeMat-Bulk
Functional: PBE-GGA
Structure: optimized geometry

```
LaMnSb2
1.0
-1.262 2.870 -6.630
-4.521 0.313 -5.766
-4.387 4.204 -4.107
La Mn Sb
1 1 2
Direct
0.497 0.497 0.497
0.670 0.670 0.670
0.062 0.062 0.062
0.270 0.270 0.270
```

## Properties
The crystal system is trigonal. Its electronic total energy is -6.044 eV per atom. As for the density of states at the Fermi level: 2.87 states/eV/f.u. The symmetry is No. 160.

Compound: LaMnSb
Source: Alexandria via LeMat-Bulk
Functional: PBE-GGA
Structure: optimized geometry

```
LaMnSb
1.0
-1.854 2.009 -3.875
-4.346 -1.218 -1.453
-3.586 3.076 0.409
La Mn Sb
1 1 1
Direct
0.500 0.500 0.500
0.250 0.250 0.250
0.000 0.000 0.000
```

## Properties
The crystal system is cubic. Its electronic total energy is -6.396 eV per atom. As for the density of states at the Fermi level: 3.33 states/eV/f.u. The symmetry is No. 216.

Compound: LaMnSb2
Source: Alexandria via LeMat-Bulk
Functional: PBE-GGA
Structure: optimized geometry

```
LaMnSb2
1.0
6.139 0.178 0.000
2.735 5.499 0.000
-4.437 -2.839 3.158
La Mn Sb
1 1 2
Direct
0.500 0.500 0.000
0.750 0.250 0.500
0.000 0.000 0.000
0.250 0.750 0.500
```

## Properties
The crystal system is tetragonal. Its electronic total energy is -5.910 eV per atom. As for the density of states at the Fermi level: 2.45 states/eV/f.u. The symmetry is No. 119.

Compound: La2MnSb4
Source: Alexandria via LeMat-Bulk
Functional: PBE-GGA
Structure: optimized geometry

```
La2MnSb4
1.0
-1.017 -0.773 4.919
1.967 -4.675 -0.328
7.766 0.205 4.263
Sb Mn La
4 1 2
Direct
0.834 0.834 0.332
0.166 0.166 0.668
0.000 0.500 0.000
0.500 0.000 0.000
0.000 0.000 0.000
0.638 0.638 0.725
0.362 0.362 0.275
```

## Properties
The crystal system is tetragonal. Its electronic total energy is -5.578 eV per atom. As for the density of states at the Fermi level: 5.73 states/eV/f.u. The symmetry is No. 139.

Compound: LaMnSb2
Source: Alexandria via LeMat-Bulk
Functional: PBE-GGA
Structure: optimized geometry

```
LaMnSb2
1.0
-3.811 1.304 3.418
-4.988 0.496 -1.668
-3.624 -3.577 1.407
La Mn Sb
1 1 2
Direct
0.500 0.500 0.500
0.750 0.750 0.750
0.000 0.000 0.000
0.250 0.250 0.250
```

## Properties
The crystal system is cubic. Its electronic total energy is -5.626 eV per atom. As for the density of states at the Fermi level: 2.39 states/eV/f.u. The symmetry is No. 216.

Compound: LaMnSb
Source: Alexandria via LeMat-Bulk
Functional: PBE-GGA
Structure: optimized geometry

```
LaMnSb
1.0
-6.155 0.123 0.608
-5.282 -3.068 -0.980
-0.822 -1.772 3.107
La Mn Sb
1 1 1
Direct
0.994 0.994 0.006
0.304 0.304 0.696
0.701 0.701 0.299
```

## Properties
The crystal system is tetragonal. Its electronic total energy is -6.269 eV per atom. As for the density of states at the Fermi level: 3.59 states/eV/f.u. The symmetry is No. 107.

Number 1: formation energy (no corrections) -1.40 eV/f.u.. Number 2: formation energy (no corrections) -1.98 eV/f.u.. Number 3: formation energy (no corrections) -1.83 eV/f.u.. Number 4: formation energy (no corrections) -0.97 eV/f.u.. Number 5: formation energy (no corrections) -1.30 eV/f.u.. Number 6: formation energy (no corrections) -3.53 eV/f.u.. Number 7: formation energy (no corrections) -0.16 eV/f.u.. Number 8: formation energy (no corrections) -0.59 eV/f.u..